Entry from the Alexandria database: a geometry-optimized Ac3AgGe2Pd9 structure (GGA-PBE).

a = 5.944 Å, b = 5.944 Å, c = 11.106 Å
α = 90.00°, β = 90.00°, γ = 120.00°
Fractional coordinates of all 15 atoms:
Ac (0.333, 0.667, 0.619)
Ac (0.000, 0.000, 0.000)
Ac (0.667, 0.333, 0.381)
Ag (0.000, 0.000, 0.500)
Ge (0.333, 0.667, 0.160)
Ge (0.667, 0.333, 0.840)
Pd (0.840, 0.160, 0.694)
Pd (0.840, 0.681, 0.694)
Pd (0.319, 0.160, 0.694)
Pd (0.681, 0.840, 0.306)
Pd (0.160, 0.319, 0.306)
Pd (0.160, 0.840, 0.306)
Pd (0.500, 0.000, 0.000)
Pd (0.000, 0.500, 0.000)
Pd (0.500, 0.500, 0.000)

Calculated formation energy in eV/atom: -0.568
V in Å³ per cell: 340
Raw total energy in eV/cell: -79.66

***

Entry from the Alexandria database: a geometry-optimized Ac3AgGe2Pd6 structure (GGA-PBE).

a = 5.856 Å, b = 5.856 Å, c = 9.394 Å
α = 90.00°, β = 90.00°, γ = 120.00°
Fractional coordinates of all 12 atoms:
Ac (0.333, 0.667, 0.624)
Ac (0.667, 0.333, 0.376)
Ac (0.000, 0.000, 0.000)
Ag (0.000, 0.000, 0.500)
Ge (0.667, 0.333, 0.937)
Ge (0.333, 0.667, 0.063)
Pd (0.659, 0.829, 0.274)
Pd (0.171, 0.341, 0.274)
Pd (0.171, 0.829, 0.274)
Pd (0.829, 0.659, 0.726)
Pd (0.341, 0.171, 0.726)
Pd (0.829, 0.171, 0.726)

Calculated formation energy in eV/atom: -0.618
V in Å³ per cell: 279
Raw total energy in eV/cell: -62.98

***

Entry from the Alexandria database: a geometry-optimized AcAgGePd structure (GGA-PBE).

a = 5.059 Å, b = 5.059 Å, c = 5.059 Å
α = 60.00°, β = 60.00°, γ = 60.00°
Fractional coordinates of all 4 atoms:
Ac (0.750, 0.750, 0.750)
Ge (0.250, 0.250, 0.250)
Pd (0.000, 0.000, 0.000)
Ag (0.500, 0.500, 0.500)

Calculated formation energy in eV/atom: -0.345
V in Å³ per cell: 92
Raw total energy in eV/cell: -18.15

***

Entry from the Alexandria database: a geometry-optimized Ac2Ag3Ge4Pd structure (GGA-PBE).

a = 4.576 Å, b = 4.576 Å, c = 10.598 Å
α = 90.00°, β = 90.00°, γ = 90.00°
Fractional coordinates of all 10 atoms:
Ac (0.500, 0.000, 0.254)
Ac (0.000, 0.500, 0.746)
Ag (0.000, 0.000, 0.500)
Ag (0.500, 0.000, 0.869)
Ag (0.000, 0.500, 0.131)
Ge (0.500, 0.500, 0.000)
Ge (0.000, 0.000, 0.000)
Ge (0.500, 0.000, 0.624)
Ge (0.000, 0.500, 0.376)
Pd (0.500, 0.500, 0.500)

Calculated formation energy in eV/atom: -0.471
V in Å³ per cell: 222
Raw total energy in eV/cell: -45.14

***

Entry from the Alexandria database: a geometry-optimized AcAg2GePd2 structure (GGA-PBE).

a = 5.289 Å, b = 5.289 Å, c = 6.463 Å
α = 114.16°, β = 114.16°, γ = 90.00°
Fractional coordinates of all 6 atoms:
Ac (0.500, 0.500, 0.000)
Ag (0.250, 0.750, 0.500)
Ag (0.750, 0.250, 0.500)
Ge (0.000, 0.000, 0.000)
Pd (0.779, 0.779, 0.558)
Pd (0.221, 0.221, 0.442)

Calculated formation energy in eV/atom: -0.104
V in Å³ per cell: 147
Raw total energy in eV/cell: -25.44

***

Entry from the Alexandria database: a geometry-optimized Ac2AgGe3Pd12 structure (GGA-PBE).

a = 7.022 Å, b = 7.022 Å, c = 7.022 Å
α = 84.14°, β = 84.14°, γ = 84.14°
Fractional coordinates of all 18 atoms:
Ac (0.646, 0.646, 0.646)
Ac (0.354, 0.354, 0.354)
Ag (0.000, 0.000, 0.000)
Ge (0.500, 0.000, 0.000)
Ge (0.000, 0.500, 0.000)
Ge (0.000, 0.000, 0.500)
Pd (0.377, 0.377, 0.906)
Pd (0.818, 0.818, 0.314)
Pd (0.314, 0.818, 0.818)
Pd (0.906, 0.377, 0.377)
Pd (0.818, 0.314, 0.818)
Pd (0.377, 0.906, 0.377)
Pd (0.623, 0.623, 0.094)
Pd (0.182, 0.182, 0.686)
Pd (0.686, 0.182, 0.182)
Pd (0.094, 0.623, 0.623)
Pd (0.182, 0.686, 0.182)
Pd (0.623, 0.094, 0.623)

Calculated formation energy in eV/atom: -0.341
V in Å³ per cell: 341
Raw total energy in eV/cell: -93.38

***

Entry from the Alexandria database: a geometry-optimized AcPm2Ag2Ge2 structure (GGA-PBE).

a = 4.645 Å, b = 4.645 Å, c = 10.082 Å
α = 76.68°, β = 76.68°, γ = 60.00°
Fractional coordinates of all 7 atoms:
Ac (0.000, 0.000, 0.000)
Pm (0.130, 0.130, 0.610)
Pm (0.870, 0.870, 0.390)
Ag (0.593, 0.593, 0.222)
Ag (0.407, 0.407, 0.778)
Ge (0.746, 0.746, 0.763)
Ge (0.254, 0.254, 0.237)

Calculated formation energy in eV/atom: -0.442
V in Å³ per cell: 182
Raw total energy in eV/cell: -31.64

***

Entry from the Alexandria database: a geometry-optimized AcPr2Ag2Ge2 structure (GGA-PBE).

a = 4.661 Å, b = 4.661 Å, c = 10.224 Å
α = 76.82°, β = 76.82°, γ = 60.00°
Fractional coordinates of all 7 atoms:
Ac (0.000, 0.000, 0.000)
Pr (0.129, 0.129, 0.612)
Pr (0.871, 0.871, 0.388)
Ag (0.594, 0.594, 0.217)
Ag (0.406, 0.406, 0.783)
Ge (0.743, 0.743, 0.771)
Ge (0.257, 0.257, 0.229)

Calculated formation energy in eV/atom: -0.438
V in Å³ per cell: 186
Raw total energy in eV/cell: -31.67

***

- Which of these has the lowest V?
  AcAgGePd